Entry 1:
# Cs3Ag2HgCl6 (PBE-GGA, optimized geometry)
data_Cs3Ag2HgCl6
_space_group_name_H-M_alt 'P 1'
_space_group_IT_number 1
_space_group_name_Hall 'P 1'
_cell_length_a 8.185
_cell_length_b 8.185
_cell_length_c 8.834
_cell_angle_alpha 90.00
_cell_angle_beta 90.00
_cell_angle_gamma 120.00
loop_
_atom_site_label
_atom_site_type_symbol
_atom_site_fract_x
_atom_site_fract_y
_atom_site_fract_z
Cl1 Cl 0.163 0.327 0.291
Cs1 Cs 0.333 0.667 0.635
Cl2 Cl 0.837 0.163 0.709
Hg1 Hg 0.000 0.000 0.500
Cl3 Cl 0.163 0.837 0.291
Cs2 Cs 0.000 0.000 0.000
Ag1 Ag 0.333 0.667 0.224
Ag2 Ag 0.667 0.333 0.776
Cl4 Cl 0.673 0.837 0.291
Cs3 Cs 0.667 0.333 0.365
Cl5 Cl 0.837 0.673 0.709
Cl6 Cl 0.327 0.163 0.709
# - E_form (uncorrected): -1.10 eV/atom

---

Entry 2:
# Cs3Ag2HgCl8 (PBE-GGA, optimized geometry)
data_Cs3Ag2HgCl8
_space_group_name_H-M_alt 'P 1'
_space_group_IT_number 1
_space_group_name_Hall 'P 1'
_cell_length_a 7.458
_cell_length_b 7.458
_cell_length_c 10.036
_cell_angle_alpha 90.00
_cell_angle_beta 90.00
_cell_angle_gamma 120.00
loop_
_atom_site_label
_atom_site_type_symbol
_atom_site_fract_x
_atom_site_fract_y
_atom_site_fract_z
Cl1 Cl 0.164 0.836 0.336
Cl2 Cl 0.164 0.328 0.336
Ag1 Ag 0.667 0.333 0.800
Cs1 Cs 0.000 0.000 0.000
Cs2 Cs 0.667 0.333 0.372
Cl3 Cl 0.667 0.333 0.039
Cl4 Cl 0.836 0.672 0.664
Cl5 Cl 0.836 0.164 0.664
Ag2 Ag 0.333 0.667 0.200
Cs3 Cs 0.333 0.667 0.628
Hg1 Hg 0.000 0.000 0.500
Cl6 Cl 0.328 0.164 0.664
Cl7 Cl 0.672 0.836 0.336
Cl8 Cl 0.333 0.667 0.961
# - E_form (uncorrected): -1.10 eV/atom

---

Number 1: size of the total moment 0.00 μB per cell. Number 2: size of the total moment 0.00 μB per cell.